Entry 1:
Density functional theory data (PBE-GGA) for crystalline CaBiPCl2 at its relaxed geometry.

Unit cell a=5.390 b=5.390 c=5.431 alpha=90.00 beta=90.00 gamma=90.00
Space group P4/mmm (No. 123)
One atom of each set of equivalent atoms:
Ca  0.000  0.000  0.000 (multiplicity 1)
Bi  0.500  0.500  0.500 (multiplicity 1)
P  0.500  0.500  0.000 (multiplicity 1)
Cl  0.000  0.500  0.500 (multiplicity 2)

Output
* formation energy without anion corrections: -0.466 eV/atom
* calculated volume: 31.55 A^3/atom
* relative energy among the computed polymorphs: 61 meV per atom



Entry 2:
Density functional theory data (PBE-GGA) for crystalline Ca2BiPdCl at its relaxed geometry.

Unit cell a=5.388 b=5.388 c=4.648 alpha=90.00 beta=90.00 gamma=90.00
Space group P4/mmm (No. 123)
One atom of each set of equivalent atoms:
Ca  0.000  0.500  0.000 (multiplicity 2)
Bi  0.000  0.000  0.500 (multiplicity 1)
Pd  0.500  0.500  0.500 (multiplicity 1)
Cl  0.500  0.500  0.000 (multiplicity 1)

Output
* formation energy without anion corrections: -0.784 eV/atom
* calculated volume: 26.99 A^3/atom



Entry 3:
Density functional theory data (PBE-GGA) for crystalline RbCaBiCl6 at its relaxed geometry.

Unit cell a=7.2097 b=7.2097 c=14.4063 alpha=90.00 beta=90.00 gamma=120.00
Space group P-31c (No. 163)
One atom of each set of equivalent atoms:
Rb  0.0000  0.0000  0.0000 (multiplicity 2)
Ca  0.3333  0.6667  0.2500 (multiplicity 2)
Bi  0.3333  0.6667  0.7500 (multiplicity 2)
Cl  0.0021  0.3740  0.6422 (multiplicity 12)

Output
* formation energy without anion corrections: -1.720 eV/atom
* calculated volume: 36.03 A^3/atom



Entry 4:
Density functional theory data (PBE-GGA) for crystalline Rb2CaBiCl6 at its relaxed geometry.

Unit cell a=7.295 b=7.544 c=8.031 alpha=117.61 beta=113.95 gamma=91.63
Space group P-1 (No. 2)
One atom of each set of equivalent atoms:
Rb  0.234  0.234  0.460 (multiplicity 2)
Ca  0.500  0.000  0.000 (multiplicity 1)
Bi  0.000  0.500  0.000 (multiplicity 1)
Cl  0.178  0.184  0.996 (multiplicity 2)
Cl  0.256  0.721  0.582 (multiplicity 2)
Cl  0.366  0.763  0.137 (multiplicity 2)

Output
* formation energy without anion corrections: -1.691 eV/atom
* calculated volume: 34.49 A^3/atom
* relative energy among the computed polymorphs: 0 meV per atom



Entry 5:
Density functional theory data (PBE-GGA) for crystalline Rb2CaBiCl6 at its relaxed geometry.

Unit cell a=7.703 b=7.703 c=12.163 alpha=90.00 beta=90.00 gamma=90.00
Space group I4/mmm (No. 139)
One atom of each set of equivalent atoms:
Rb  0.000  0.500  0.250 (multiplicity 4)
Ca  0.000  0.000  0.000 (multiplicity 2)
Bi  0.000  0.000  0.500 (multiplicity 2)
Cl  0.000  0.000  0.221 (multiplicity 4)
Cl  0.250  0.250  0.000 (multiplicity 8)

Output
* formation energy without anion corrections: -1.649 eV/atom
* calculated volume: 36.09 A^3/atom
* relative energy among the computed polymorphs: 42 meV per atom



Entry 6:
Density functional theory data (PBE-GGA) for crystalline Ca2BiSeCl at its relaxed geometry.

Unit cell a=6.086 b=6.086 c=5.496 alpha=90.00 beta=90.00 gamma=90.00
Space group P4/mmm (No. 123)
One atom of each set of equivalent atoms:
Ca  0.000  0.500  0.000 (multiplicity 2)
Bi  0.000  0.000  0.000 (multiplicity 1)
Se  0.000  0.000  0.500 (multiplicity 1)
Cl  0.500  0.500  0.500 (multiplicity 1)

Output
* formation energy without anion corrections: -0.545 eV/atom
* calculated volume: 40.72 A^3/atom



Entry 7:
Density functional theory data (PBE-GGA) for crystalline Ca3BiSeCl at its relaxed geometry.

Unit cell a=8.894 b=4.289 c=10.841 alpha=90.00 beta=95.66 gamma=90.00
Space group P2_1/m (No. 11)
One atom of each set of equivalent atoms:
Ca  0.088  0.250  0.370 (multiplicity 2)
Ca  0.354  0.250  0.093 (multiplicity 2)
Ca  0.367  0.750  0.622 (multiplicity 2)
Bi  0.349  0.750  0.309 (multiplicity 2)
Se  0.142  0.250  0.637 (multiplicity 2)
Cl  0.339  0.750  0.923 (multiplicity 2)

Output
* formation energy without anion corrections: -1.530 eV/atom
* calculated volume: 34.29 A^3/atom



Entry 8:
Density functional theory data (PBE-GGA) for crystalline Ca2TlBiCl8 at its relaxed geometry.

Unit cell a=6.471 b=8.735 c=6.729 alpha=90.00 beta=90.11 gamma=90.00
Space group P2/m (No. 10)
One atom of each set of equivalent atoms:
Ca  0.000  0.246  0.000 (multiplicity 2)
Tl  0.500  0.000  0.500 (multiplicity 1)
Bi  0.500  0.500  0.500 (multiplicity 1)
Cl  0.219  0.000  0.869 (multiplicity 2)
Cl  0.233  0.500  0.830 (multiplicity 2)
Cl  0.255  0.284  0.328 (multiplicity 4)

Output
* formation energy without anion corrections: -1.668 eV/atom
* calculated volume: 31.69 A^3/atom